Compound: Tb2TiMnO6
Source: Alexandria via LeMat-Bulk
Functional: GGA+U
Structure: optimized geometry

Results
**Total energy**: -8.331 eV/atom
**Total magnetization**: 0.500 μB/atom

Cell: 5.0302 5.2424 5.2424 Å, 90.00 90.00 90.00°
Closest atoms and distances in Å follow each position.
Element x y z (fractional)
Tb1 0.9906 0.5000 0.0000  4 O 2.26
Tb2 0.9906 0.0000 0.5000  4 O 2.26
Ti1 0.5913 0.0000 0.0000  5 O 1.84-1.92
Mn1 0.5566 0.5000 0.5000  5 O 2.00-2.12
O1 0.7336 0.2399 0.2399  1 Ti 1.92, 1 Mn 2.12
O2 0.7336 0.2399 0.7601  1 Ti 1.92, 1 Mn 2.12
O3 0.1585 0.5000 0.5000  1 Mn 2.00
O4 0.2249 0.0000 0.0000  1 Ti 1.84
O5 0.7336 0.7601 0.7601  1 Ti 1.92, 1 Mn 2.12
O6 0.7336 0.7601 0.2399  1 Ti 1.92, 1 Mn 2.12